Entry 1:
Here is a crystal of ZrIn2Re relaxed with PBEsol from Alexandria via LeMat-Bulk. Energies are from meta-GGA SCAN.

Unit cell a=3.427 b=4.771 c=5.197 alpha=106.16 beta=109.25 gamma=90.00
Fractional positions:
In: 0.738 0.731 0.476
Zr: 0.500 0.000 0.000
In: 0.262 0.269 0.524
Re: 0.000 0.500 0.000

- Magnetic moment: 0.001 μB/cell
- Total energy: -42.065 eV/atom
- DOS at the Fermi energy: 0.70 states/eV/atom
- Space group: No. 12

=====

Entry 2:
Here is a crystal of InRh relaxed with PBEsol from Alexandria via LeMat-Bulk. Energies are from meta-GGA SCAN.

Unit cell a=4.544 b=4.544 c=4.544 alpha=60.00 beta=60.00 gamma=60.00
Fractional positions:
In: 0.000 0.000 0.000
Rh: 0.750 0.750 0.750
Rh: 0.500 0.500 0.500
In: 0.250 0.250 0.250

- Magnetic moment: 0.000 μB/cell
- Total energy: -33.583 eV/atom
- DOS at the Fermi energy: 0.85 states/eV/atom
- Space group: No. 227

=====

Entry 3:
Here is a crystal of InRh2 relaxed with PBEsol from Alexandria via LeMat-Bulk. Energies are from meta-GGA SCAN.

Unit cell a=2.860 b=3.815 c=4.850 alpha=113.16 beta=107.15 gamma=90.00
Each line ends with the local moment (μB).
Fractional positions:
Rh: 0.669 0.669 0.337  0.68
Rh: 0.331 0.331 0.663  0.68
In: 0.000 0.000 0.000  -0.04

- Magnetic moment: 1.259 μB/cell
- Total energy: -33.761 eV/atom
- DOS at the Fermi energy: 0.78 states/eV/atom
- Space group: No. 71